DFT (SCAN) results for a PBEsol-optimized structure of KZnFe2.

Cell and atoms, written as CIF:
```
data_KZnFe2
_cell_length_a 2.732
_cell_length_b 4.363
_cell_length_c 6.718
_cell_angle_alpha 90.00
_cell_angle_beta 97.61
_cell_angle_gamma 90.00
_symmetry_space_group_name_H-M 'P 1'
_symmetry_Int_Tables_number 1
loop_
_symmetry_equiv_pos_as_xyz
'x,y,z'
loop_
_atom_site_label
_atom_site_type_symbol
_atom_site_fract_x
_atom_site_fract_y
_atom_site_fract_z
K1 K 0.000 0.000 0.000
Zn1 Zn 0.500 0.000 0.500
Fe1 Fe 0.261 0.500 0.634
Fe2 Fe 0.739 0.500 0.366
```

Results
- density (g cm⁻³) = 4.52
- N(E_F) (states/eV per cell) = 2.71
- VASP energy (eV per atom) = -13.93
- formation enthalpy at 0 K (meV per atom) = 591
- total magnetic moment (μB/f.u.) = 5.7
- crystal system = monoclinic



DFT (SCAN) results for a PBEsol-optimized structure of Nb5N6.

Cell and atoms, written as CIF:
```
data_Nb5N6
_cell_length_a 5.214
_cell_length_b 5.214
_cell_length_c 10.383
_cell_angle_alpha 90.00
_cell_angle_beta 90.00
_cell_angle_gamma 120.00
_symmetry_space_group_name_H-M 'P 1'
_symmetry_Int_Tables_number 1
loop_
_symmetry_equiv_pos_as_xyz
'x,y,z'
loop_
_atom_site_label
_atom_site_type_symbol
_atom_site_fract_x
_atom_site_fract_y
_atom_site_fract_z
Nb1 Nb 0.000 0.325 0.250
Nb2 Nb 0.000 0.675 0.750
Nb3 Nb 0.325 0.000 0.250
Nb4 Nb 0.325 0.325 0.750
Nb5 Nb 0.333 0.667 0.000
Nb6 Nb 0.333 0.667 0.500
Nb7 Nb 0.667 0.333 0.000
Nb8 Nb 0.667 0.333 0.500
Nb9 Nb 0.675 0.000 0.750
Nb10 Nb 0.675 0.675 0.250
N1 N 0.000 0.338 0.623
N2 N 0.000 0.338 0.877
N3 N 0.000 0.662 0.123
N4 N 0.000 0.662 0.377
N5 N 0.338 0.000 0.623
N6 N 0.338 0.000 0.877
N7 N 0.338 0.338 0.123
N8 N 0.338 0.338 0.377
N9 N 0.662 0.000 0.123
N10 N 0.662 0.000 0.377
N11 N 0.662 0.662 0.623
N12 N 0.662 0.662 0.877
```

Results
- density (g cm⁻³) = 7.45
- N(E_F) (states/eV per cell) = 7.63
- VASP energy (eV per atom) = -21.29
- total magnetic moment (μB/f.u.) = 0.0
- formation energy (no corrections) (eV per atom) = -1.1662
- crystal system = hexagonal



DFT (SCAN) results for a PBEsol-optimized structure of YCo13.

Cell and atoms, written as CIF:
```
data_YCo13
_cell_length_a 7.775
_cell_length_b 7.775
_cell_length_c 7.775
_cell_angle_alpha 60.00
_cell_angle_beta 60.00
_cell_angle_gamma 60.00
_symmetry_space_group_name_H-M 'P 1'
_symmetry_Int_Tables_number 1
loop_
_symmetry_equiv_pos_as_xyz
'x,y,z'
loop_
_atom_site_label
_atom_site_type_symbol
_atom_site_fract_x
_atom_site_fract_y
_atom_site_fract_z
Y1 Y 0.250 0.250 0.250
Y2 Y 0.750 0.750 0.750
Co1 Co 0.000 0.000 0.000
Co2 Co 0.058 0.297 0.703
Co3 Co 0.058 0.703 0.942
Co4 Co 0.058 0.942 0.297
Co5 Co 0.203 0.442 0.797
Co6 Co 0.203 0.558 0.442
Co7 Co 0.203 0.797 0.558
Co8 Co 0.297 0.058 0.942
Co9 Co 0.297 0.703 0.058
Co10 Co 0.297 0.942 0.703
Co11 Co 0.442 0.203 0.558
Co12 Co 0.442 0.558 0.797
Co13 Co 0.442 0.797 0.203
Co14 Co 0.500 0.500 0.500
Co15 Co 0.558 0.203 0.797
Co16 Co 0.558 0.442 0.203
Co17 Co 0.558 0.797 0.442
Co18 Co 0.703 0.058 0.297
Co19 Co 0.703 0.297 0.942
Co20 Co 0.703 0.942 0.058
Co21 Co 0.797 0.203 0.442
Co22 Co 0.797 0.442 0.558
Co23 Co 0.797 0.558 0.203
Co24 Co 0.942 0.058 0.703
Co25 Co 0.942 0.297 0.058
Co26 Co 0.942 0.703 0.297
```

Results
- density (g cm⁻³) = 8.55
- N(E_F) (states/eV per cell) = 22.41
- VASP energy (eV per atom) = -18.07
- formation enthalpy at 0 K (meV per atom) = -13
- total magnetic moment (μB/f.u.) = 22.0
- crystal system = cubic



DFT (SCAN) results for a PBEsol-optimized structure of MgAuBr2.

Cell and atoms, written as CIF:
```
data_MgAuBr2
_cell_length_a 3.871
_cell_length_b 3.995
_cell_length_c 5.946
_cell_angle_alpha 90.00
_cell_angle_beta 90.00
_cell_angle_gamma 90.00
_symmetry_space_group_name_H-M 'P 1'
_symmetry_Int_Tables_number 1
loop_
_symmetry_equiv_pos_as_xyz
'x,y,z'
loop_
_atom_site_label
_atom_site_type_symbol
_atom_site_fract_x
_atom_site_fract_y
_atom_site_fract_z
Mg1 Mg 0.000 0.000 0.000
Au1 Au 0.500 0.000 0.500
Br1 Br 0.000 0.500 0.500
Br2 Br 0.500 0.500 0.000
```

Results
- density (g cm⁻³) = 6.88
- N(E_F) (states/eV per cell) = 1.08
- VASP energy (eV per atom) = -28.55
- total magnetic moment (μB/f.u.) = 0.0
- formation energy (no corrections) (eV per atom) = -0.2910
- crystal system = orthorhombic



DFT (SCAN) results for a PBEsol-optimized structure of BeAuBr2.

Cell and atoms, written as CIF:
```
data_BeAuBr2
_cell_length_a 5.085
_cell_length_b 3.256
_cell_length_c 5.878
_cell_angle_alpha 90.00
_cell_angle_beta 106.27
_cell_angle_gamma 90.00
_symmetry_space_group_name_H-M 'P 1'
_symmetry_Int_Tables_number 1
loop_
_symmetry_equiv_pos_as_xyz
'x,y,z'
loop_
_atom_site_label
_atom_site_type_symbol
_atom_site_fract_x
_atom_site_fract_y
_atom_site_fract_z
Be1 Be 0.000 0.000 0.000
Au1 Au 0.290 0.500 0.874
Br1 Br 0.631 0.000 0.703
Br2 Br 0.975 0.500 0.252
```

Results
- density (g cm⁻³) = 6.50
- N(E_F) (states/eV per cell) = 0.98
- VASP energy (eV per atom) = -28.42
- total magnetic moment (μB/f.u.) = 0.0
- formation energy (no corrections) (eV per atom) = -0.3135
- crystal system = monoclinic



DFT (SCAN) results for a PBEsol-optimized structure of TcRh.

Cell and atoms, written as CIF:
```
data_TcRh
_cell_length_a 4.289
_cell_length_b 2.673
_cell_length_c 4.731
_cell_angle_alpha 90.00
_cell_angle_beta 90.00
_cell_angle_gamma 90.00
_symmetry_space_group_name_H-M 'P 1'
_symmetry_Int_Tables_number 1
loop_
_symmetry_equiv_pos_as_xyz
'x,y,z'
loop_
_atom_site_label
_atom_site_type_symbol
_atom_site_fract_x
_atom_site_fract_y
_atom_site_fract_z
Tc1 Tc 0.250 0.000 0.162
Tc2 Tc 0.750 0.000 0.838
Rh1 Rh 0.250 0.500 0.666
Rh2 Rh 0.750 0.500 0.334
```

Results
- density (g cm⁻³) = 12.30
- N(E_F) (states/eV per cell) = 2.14
- VASP energy (eV per atom) = -34.63
- formation enthalpy at 0 K (meV per atom) = -216
- total magnetic moment (μB/f.u.) = 0.0
- crystal system = orthorhombic